DFT (PBE) results for an optimized crystal structure of NaThN2.

Calculated values
SG = R3m

Lattice parameters (Å, degrees): 3.6638 3.6638 6.5303 73.71 73.71 60.00
Fractional positions:
Na  0.4914  0.4914  0.5259
Th  0.6689  0.6689  0.9934
N  0.0663  0.0663  0.8011
N  0.2735  0.2735  0.1796



DFT (PBE) results for an optimized crystal structure of MgPHS2.

Calculated values
SG = P4/mmm

Lattice parameters (Å, degrees): 4.7991 4.7991 5.0758 90.00 90.00 90.00
Fractional positions:
P  0.0000  0.0000  0.5000
S  0.0000  0.5000  0.0000
S  0.5000  0.0000  0.0000
Mg  0.0000  0.0000  0.0000
H  0.5000  0.5000  0.5000



| no. | polymorph energy (0 for the lowest one) (meV/atom) | uncorrected energy (eV per atom) |
| --- | --- | --- |
| 1 | 77.5 | -6.9889 |
| 2 | 823.3 | -2.6884 |